1.
{
  "formula": "Al4MoOs",
  "functional": "PBE",
  "state": "optimized geometry",
  "sg": "F-43m (216)",
  "formation_energy_mev_per_atom": 125,
  "mass_density_g_cm3": 7.5,
  "magmom_total_mub_per_fu": 0.00,
  "dos_ef_per_ev_atom": 0.91,
  "total_energy_ev_per_atom": -6.047,
  "lattice": [[0.0000, 3.5160, 3.5160], [3.5160, 0.0000, 3.5160], [3.5160, 3.5160, 0.0000]],
  "species": ["Al", "Al", "Al", "Al", "Mo", "Os"],
  "fractional_positions": [[0.1251, 0.1251, 0.1251], [0.1251, 0.1251, 0.6246], [0.1251, 0.6246, 0.1251], [0.6246, 0.1251, 0.1251], [0.7500, 0.7500, 0.7500], [0.5000, 0.5000, 0.5000]]
}

***

2.
{
  "formula": "BaBe2W",
  "functional": "PBE",
  "state": "optimized geometry",
  "sg": "R-3m (166)",
  "formation_energy_mev_per_atom": 940,
  "mass_density_g_cm3": 7.3,
  "magmom_total_mub_per_fu": 0.00,
  "dos_ef_per_ev_atom": 0.70,
  "total_energy_ev_per_atom": -4.642,
  "lattice": [[3.4527, 0.0000, 0.0000], [-1.7263, 2.9901, 0.0000], [0.0000, 0.0000, 22.2742]],
  "species": ["Ba", "Ba", "Ba", "Be", "Be", "Be", "Be", "Be", "Be", "W", "W", "W"],
  "fractional_positions": [[0.0000, 0.0000, 0.0000], [0.3333, 0.6667, 0.6667], [0.6667, 0.3333, 0.3333], [0.0000, 0.0000, 0.2231], [0.0000, 0.0000, 0.7769], [0.3333, 0.6667, 0.4436], [0.3333, 0.6667, 0.8898], [0.6667, 0.3333, 0.1102], [0.6667, 0.3333, 0.5564], [0.0000, 0.0000, 0.5000], [0.3333, 0.6667, 0.1667], [0.6667, 0.3333, 0.8333]]
}

***

3.
{
  "formula": "Si3W",
  "functional": "PBE",
  "state": "optimized geometry",
  "sg": "Pmm2 (25)",
  "mass_density_g_cm3": 7.9,
  "raw_formation_energy_mev_per_atom": 274,
  "magmom_total_mub_per_fu": 0.00,
  "dos_ef_per_ev_atom": 0.51,
  "total_energy_ev_per_atom": -7.031,
  "lattice": [[3.1332, 0.0000, 0.0000], [0.0000, 4.2399, 0.0000], [0.0000, 0.0000, 4.2582]],
  "species": ["Si", "Si", "Si", "W"],
  "fractional_positions": [[0.0000, 0.0000, 0.0000], [0.0000, 0.5000, 0.3428], [0.5000, 0.0000, 0.4838], [0.5000, 0.5000, 0.8252]]
}

***

4.
{
  "formula": "Mn2Pt9Rh",
  "functional": "PBE",
  "state": "optimized geometry",
  "sg": "P4/mmm (123)",
  "formation_energy_mev_per_atom": -239,
  "mass_density_g_cm3": 17.9,
  "magmom_total_mub_per_fu": 7.86,
  "dos_ef_per_ev_atom": 1.31,
  "total_energy_ev_per_atom": -6.911,
  "lattice": [[3.9330, 0.0000, 0.0000], [0.0000, 3.9330, 0.0000], [0.0000, 0.0000, 11.8160]],
  "species": ["Mn", "Mn", "Pt", "Pt", "Pt", "Pt", "Pt", "Pt", "Pt", "Pt", "Pt", "Rh"],
  "fractional_positions": [[0.0000, 0.0000, 0.1671], [0.0000, 0.0000, 0.8329], [0.0000, 0.5000, 0.0000], [0.0000, 0.5000, 0.3309], [0.0000, 0.5000, 0.6691], [0.5000, 0.0000, 0.0000], [0.5000, 0.0000, 0.3309], [0.5000, 0.0000, 0.6691], [0.5000, 0.5000, 0.1650], [0.5000, 0.5000, 0.5000], [0.5000, 0.5000, 0.8350], [0.0000, 0.0000, 0.5000]]
}

***

5.
{
  "formula": "Ca3Cd8Ag",
  "functional": "PBE",
  "state": "optimized geometry",
  "sg": "R3m (160)",
  "formation_energy_mev_per_atom": -218,
  "mass_density_g_cm3": 6.3,
  "magmom_total_mub_per_fu": 0.00,
  "dos_ef_per_ev_atom": 0.62,
  "total_energy_ev_per_atom": -1.566,
  "lattice": [[2.9540, 1.7055, 9.7906], [-2.9540, 1.7055, 9.7906], [0.0000, -3.4110, 9.7906]],
  "species": ["Ca", "Ca", "Ca", "Cd", "Cd", "Cd", "Cd", "Cd", "Cd", "Cd", "Cd", "Ag"],
  "fractional_positions": [[0.0000, 0.0000, 0.0000], [0.1276, 0.1276, 0.1276], [0.5107, 0.5107, 0.5107], [0.0650, 0.5658, 0.5658], [0.0671, 0.0671, 0.5669], [0.0671, 0.5669, 0.0671], [0.3159, 0.3159, 0.3159], [0.5658, 0.0650, 0.5658], [0.5658, 0.5658, 0.0650], [0.5669, 0.0671, 0.0671], [0.8169, 0.8169, 0.8169], [0.6281, 0.6281, 0.6281]]
}

***

- Which formula does entry 4 have?
  Mn2Pt9Rh

***

- What is the formula in the fourth record?
  Mn2Pt9Rh